Entry from Alexandria via LeMat-Bulk: a relaxed ScWSe crystal (PBE).

Properties
Its uncorrected formation energy is -0.10 eV/atom. For the distance to the lowest polymorph of the same formula, the calculation gives 0.00 kJ/mol of atoms.

Geometry as CIF:
```
data_ScWSe
_space_group_name_H-M_alt 'P 3 m 1'
_space_group_IT_number 156
_cell_length_a 3.3513
_cell_length_b 3.3513
_cell_length_c 5.8910
_cell_angle_alpha 90.00
_cell_angle_beta 90.00
_cell_angle_gamma 120.00
loop_
_space_group_symop_operation_xyz
'x,y,z'
'-y,x-y,z'
'-x+y,-x,z'
'-y,-x,z'
'-x+y,y,z'
'x,x-y,z'
loop_
_atom_site_label
_atom_site_fract_x
_atom_site_fract_y
_atom_site_fract_z
Sc1 0.0000 0.0000 0.0000
W1 0.3333 0.6667 0.6412
Se1 0.6667 0.3333 0.3541
```